Entry 1:
The following is a DFT calculation (PBE) of a relaxed CdInRu2 crystal.

For the formation energy from the elements, the calculation gives 431 meV/atom. The density of states at the Fermi level comes out at 0.930 states/eV/atom. As for the crystal system: orthorhombic. The calculation puts the electronic total energy at -5.12 eV per atom. As for the space group: Pmmm, No. 47.

Unit cell a=3.120 b=4.556 c=4.842 alpha=90.00 beta=90.00 gamma=90.00
Element x y z (fractional)
Cd: 0.000 0.000 0.000
In: 0.500 0.000 0.500
Ru: 0.000 0.500 0.500
Ru: 0.500 0.500 0.000


Entry 2:
The following is a DFT calculation (PBE) of a relaxed CdInRu2 crystal.

For the formation energy from the elements, the calculation gives 366 meV/atom. The density of states at the Fermi level comes out at 1.065 states/eV/atom. As for the crystal system: trigonal. The calculation puts the electronic total energy at -5.19 eV per atom. As for the space group: R-3m, No. 166.

Unit cell a=9.102 b=9.102 c=9.102 alpha=18.80 beta=18.80 gamma=18.80
Element x y z (fractional)
Cd: 0.000 0.000 0.000
In: 0.500 0.500 0.500
Ru: 0.248 0.248 0.248
Ru: 0.752 0.752 0.752


Entry 3:
The following is a DFT calculation (PBE) of a relaxed CdIn2Ru crystal.

The excess energy over the best structure of this formula in the dataset comes out at 0.26 eV per formula unit. For the formation energy from the elements, the calculation gives 185 meV/atom. The density of states at the Fermi level comes out at 0.882 states/eV/atom. As for the crystal system: trigonal. The calculation puts the electronic total energy at -3.73 eV per atom. As for the space group: R-3m, No. 166.

Unit cell a=9.311 b=9.311 c=9.311 alpha=20.10 beta=20.10 gamma=20.10
Element x y z (fractional)
Cd: 0.000 0.000 0.000
In: 0.241 0.241 0.241
In: 0.759 0.759 0.759
Ru: 0.500 0.500 0.500


Entry 4:
The following is a DFT calculation (PBE) of a relaxed CdInRu2 crystal.

For the formation energy from the elements, the calculation gives 440 meV/atom. The density of states at the Fermi level comes out at 1.065 states/eV/atom. As for the crystal system: orthorhombic. The calculation puts the electronic total energy at -5.11 eV per atom. As for the space group: Cmmm, No. 65.

Unit cell a=2.893 b=2.893 c=9.082 alpha=90.00 beta=90.00 gamma=114.86
Element x y z (fractional)
Cd: 0.000 0.000 0.000
In: 0.000 0.000 0.500
Ru: 0.500 0.500 0.256
Ru: 0.500 0.500 0.744


Entry 5:
The following is a DFT calculation (PBE) of a relaxed CdIn2Ru crystal.

The excess energy over the best structure of this formula in the dataset comes out at 0.40 eV per formula unit. For the formation energy from the elements, the calculation gives 220 meV/atom. The density of states at the Fermi level comes out at 0.686 states/eV/atom. As for the crystal system: orthorhombic. The calculation puts the electronic total energy at -3.70 eV per atom. As for the space group: Cmmm, No. 65.

Unit cell a=4.914 b=4.914 c=3.326 alpha=90.00 beta=90.00 gamma=103.68
Element x y z (fractional)
Cd: 0.000 0.000 0.000
In: 0.000 0.500 0.500
In: 0.500 0.000 0.500
Ru: 0.500 0.500 0.000


Entry 6:
The following is a DFT calculation (PBE) of a relaxed CdInRu2 crystal.

For the formation energy from the elements, the calculation gives 309 meV/atom. The density of states at the Fermi level comes out at 1.235 states/eV/atom. As for the crystal system: tetragonal. The calculation puts the electronic total energy at -5.24 eV per atom. As for the space group: P4/mmm, No. 123.

Unit cell a=4.564 b=4.564 c=3.250 alpha=90.00 beta=90.00 gamma=90.00
Element x y z (fractional)
Cd: 0.000 0.000 0.000
In: 0.500 0.500 0.000
Ru: 0.000 0.500 0.500
Ru: 0.500 0.000 0.500